The following is a PBE-GGA calculation of crystalline CaPr4Th3Se8 at its relaxed geometry, from Alexandria.

a b c (Å): 8.4589 8.4649 8.4577
angles (deg): 119.97 120.00 90.00
Last column: nearest neighbours and their distance in Å.
Atoms (fractional coordinates):
Se1 0.2507 0.2521 0.5014  3 Th 2.98, 3 Pr 3.00
Se2 0.7521 0.7426 0.9973  1 Ca 2.94, 2 Th 2.98, 3 Pr 3.01-3.05
Se3 0.7546 0.2573 0.5093  1 Ca 2.94, 2 Th 2.98, 3 Pr 3.01-3.05
Se4 0.2453 0.7426 0.9973  1 Ca 2.94, 2 Th 2.98, 3 Pr 3.01-3.05
Se5 0.2479 0.2574 0.0027  1 Ca 2.94, 2 Th 2.98, 3 Pr 3.01-3.05
Se6 0.7493 0.7479 0.4986  3 Th 2.98, 3 Pr 3.00
Se7 0.2454 0.7427 0.4907  1 Ca 2.94, 2 Th 2.98, 3 Pr 3.01-3.05
Se8 0.7547 0.2574 0.0027  1 Ca 2.94, 2 Th 2.98, 3 Pr 3.01-3.05
Pr1 0.0000 0.0000 0.0000  6 Se 3.00-3.01
Pr2 0.5000 0.0000 0.5000  6 Se 3.00-3.01
Pr3 0.0000 0.0000 0.5000  6 Se 3.00-3.01
Pr4 0.5000 0.0000 0.0000  6 Se 3.05
Th1 0.0000 0.5000 0.5000  6 Se 2.98
Th2 0.5000 0.5000 0.0000  6 Se 2.98
Th3 0.5000 0.5000 0.5000  6 Se 2.98
Ca1 0.0000 0.5000 0.0000  6 Se 2.94

Output
Total DFT energy (no corrections) ... -6.1856 eV/atom
Calculated density ... 7.5 g/cm3
Symmetry ... No. 166

***

The following is a PBE-GGA calculation of crystalline CaPr2TmSe4 at its relaxed geometry, from Alexandria.

a b c (Å): 4.1293 7.1695 7.3850
angles (deg): 108.68 90.00 90.00
Last column: nearest neighbours and their distance in Å.
Atoms (fractional coordinates):
Se1 0.5000 0.7501 0.7661  1 Tm 2.86, 2 Ca 2.91, 3 Pr 3.01-3.05
Se2 0.0000 0.7395 0.2300  2 Tm 2.87, 1 Ca 2.90, 3 Pr 3.02-3.06
Se3 0.5000 0.2499 0.2339  1 Tm 2.86, 2 Ca 2.91, 3 Pr 3.01-3.05
Se4 0.0000 0.2605 0.7700  2 Tm 2.87, 1 Ca 2.90, 3 Pr 3.02-3.06
Pr1 0.5000 0.0000 0.5000  6 Se 3.05-3.06
Pr2 0.0000 0.5000 0.5000  6 Se 3.01-3.02
Ca1 0.0000 0.0000 0.0000  6 Se 2.90-2.91
Tm1 0.5000 0.5000 0.0000  6 Se 2.86-2.87

Output
Total DFT energy (no corrections) ... -5.5803 eV/atom
Calculated density ... 6.5 g/cm3
Symmetry ... No. 10

***

The following is a PBE-GGA calculation of crystalline CaPr2TmSe5 at its relaxed geometry, from Alexandria.

a b c (Å): 5.0814 5.0814 10.7660
angles (deg): 90.00 90.00 90.00
Last column: nearest neighbours and their distance in Å.
Atoms (fractional coordinates):
Se1 0.5000 0.5000 0.0000  2 Pr 3.15
Se2 0.5000 0.0000 0.5000  2 Tm 2.54
Se3 0.0000 0.0000 0.2471  1 Ca 2.66, 1 Tm 2.72
Se4 0.0000 0.0000 0.7529  1 Ca 2.66, 1 Tm 2.72
Se5 0.0000 0.5000 0.5000  2 Tm 2.54
Pr1 0.5000 0.5000 0.2930  5 Se 3.15-3.38
Pr2 0.5000 0.5000 0.7070  5 Se 3.15-3.38
Ca1 0.0000 0.0000 0.0000  2 Se 2.66
Tm1 0.0000 0.0000 0.5000  6 Se 2.54-2.72

Output
Total DFT energy (no corrections) ... -5.1678 eV/atom
Calculated density ... 5.3 g/cm3
Symmetry ... No. 123

***

The following is a PBE-GGA calculation of crystalline CaPrTm4Se8 at its relaxed geometry, from Alexandria.

a b c (Å): 8.3887 8.3887 8.4905
angles (deg): 60.40 60.40 60.00
Last column: nearest neighbours and their distance in Å.
Atoms (fractional coordinates):
Se1 0.7490 0.2318 0.2702  3 Tm 2.71-2.90, 1 Pr 3.03
Se2 0.2318 0.7490 0.2702  3 Tm 2.71-2.90, 1 Pr 3.03
Se3 0.2387 0.2387 0.2839  1 Ca 2.81, 3 Tm 2.83
Se4 0.7583 0.7583 0.7251  4 Tm 2.77-2.91
Se5 0.7778 0.2484 0.7253  1 Ca 2.78, 2 Tm 2.80, 1 Pr 2.95
Se6 0.7490 0.7490 0.2702  3 Tm 2.71-2.90, 1 Pr 3.03
Se7 0.2484 0.7778 0.7253  1 Ca 2.78, 2 Tm 2.80, 1 Pr 2.95
Se8 0.2484 0.2484 0.7253  1 Ca 2.78, 2 Tm 2.80, 1 Pr 2.95
Tm1 0.4939 0.0019 0.5023  6 Se 2.80-2.91
Tm2 0.0019 0.0019 0.5023  6 Se 2.80-2.91
Tm3 0.6260 0.6260 0.1221  4 Se 2.71-2.77
Tm4 0.0019 0.4939 0.5023  6 Se 2.80-2.91
Ca1 0.3730 0.3730 0.8809  4 Se 2.78-2.81
Pr1 0.0018 0.0018 0.9945  6 Se 2.95-3.03

Output
Total DFT energy (no corrections) ... -5.5262 eV/atom
Calculated density ... 5.8 g/cm3
Symmetry ... No. 160

***

no.,E_form (uncorrected) (eV per atom)
1,-1.732
2,-1.834
3,-1.451
4,-1.773